The following is a PBE calculation of an optimized crystal structure of SbOsSCl2, from Alexandria via LeMat-Bulk.

a = 4.8356 Å, b = 4.8356 Å, c = 4.5601 Å
α = 90.00°, β = 90.00°, γ = 90.00°
Closest atoms and distances in Å follow each position.
Positions (direct):
1 Cl 0.0000 0.5000 0.0000  2 Os 2.42
2 Cl 0.5000 0.0000 0.0000  2 Os 2.42
3 S 0.0000 0.0000 0.5000  2 Os 2.28
4 Sb 0.5000 0.5000 0.5000  8 Cl 3.32, 4 S 3.42
5 Os 0.0000 0.0000 0.0000  2 S 2.28, 4 Cl 2.42

Values from the calculation:
- raw formation energy (kcal/mol of atoms) = 9.67
- space group = No. 123
- density (kg/m3) = 6462

The following is a PBE calculation of an optimized crystal structure of SbOsSCl2, from Alexandria via LeMat-Bulk.

a = 5.2949 Å, b = 5.2949 Å, c = 5.1715 Å
α = 90.00°, β = 90.00°, γ = 90.00°
Closest atoms and distances in Å follow each position.
Positions (direct):
1 S 0.0000 0.0000 0.5000  2 Sb 2.59
2 Cl 0.5000 0.0000 0.0000  2 Sb 2.65
3 Cl 0.0000 0.5000 0.0000  2 Sb 2.65
4 Os 0.5000 0.5000 0.5000  8 Cl 3.70, 4 S 3.74
5 Sb 0.0000 0.0000 0.0000  2 S 2.59, 4 Cl 2.65

Values from the calculation:
- raw formation energy (kcal/mol of atoms) = 26.55
- space group = No. 123
- density (kg/m3) = 4753

The following is a PBE calculation of an optimized crystal structure of ScOsSCl2, from Alexandria via LeMat-Bulk.

a = 4.9169 Å, b = 4.9169 Å, c = 5.0490 Å
α = 90.00°, β = 90.00°, γ = 90.00°
Closest atoms and distances in Å follow each position.
Positions (direct):
1 Sc 0.0000 0.0000 0.0000  4 Cl 2.46, 2 S 2.52
2 Cl 0.0000 0.5000 0.0000  2 Sc 2.46
3 Cl 0.5000 0.0000 0.0000  2 Sc 2.46
4 S 0.0000 0.0000 0.5000  2 Sc 2.52
5 Os 0.5000 0.5000 0.5000  4 S 3.48, 8 Cl 3.52

Values from the calculation:
- raw formation energy (kcal/mol of atoms) = 4.47
- space group = No. 123
- density (kg/m3) = 4600

The following is a PBE calculation of an optimized crystal structure of ScOsSCl2, from Alexandria via LeMat-Bulk.

a = 4.7465 Å, b = 4.7465 Å, c = 4.6398 Å
α = 90.00°, β = 90.00°, γ = 90.00°
Closest atoms and distances in Å follow each position.
Positions (direct):
1 Sc 0.5000 0.5000 0.5000  8 Cl 3.32, 4 S 3.36
2 S 0.0000 0.0000 0.5000  2 Os 2.32
3 Cl 0.5000 0.0000 0.0000  2 Os 2.37
4 Cl 0.0000 0.5000 0.0000  2 Os 2.37
5 Os 0.0000 0.0000 0.0000  2 S 2.32, 4 Cl 2.37

Values from the calculation:
- raw formation energy (kcal/mol of atoms) = 2.16
- space group = No. 123
- density (kg/m3) = 5372

The following is a PBE calculation of an optimized crystal structure of OsSeSCl2, from Alexandria via LeMat-Bulk.

a = 4.9796 Å, b = 4.9796 Å, c = 4.9560 Å
α = 90.00°, β = 90.00°, γ = 90.00°
Closest atoms and distances in Å follow each position.
Positions (direct):
1 Se 0.0000 0.0000 0.0000  2 S 2.48, 4 Cl 2.49
2 Cl 0.0000 0.5000 0.0000  2 Se 2.49
3 Cl 0.5000 0.0000 0.0000  2 Se 2.49
4 S 0.0000 0.0000 0.5000  2 Se 2.48
5 Os 0.5000 0.5000 0.5000  8 Cl 3.51, 4 S 3.52

Values from the calculation:
- raw formation energy (kcal/mol of atoms) = 33.38
- space group = No. 123
- density (kg/m3) = 5029

The following is a PBE calculation of an optimized crystal structure of OsSeS2Cl, from Alexandria via LeMat-Bulk.

a = 4.8715 Å, b = 4.8715 Å, c = 4.7059 Å
α = 90.00°, β = 90.00°, γ = 90.00°
Closest atoms and distances in Å follow each position.
Positions (direct):
1 Cl 0.0000 0.0000 0.5000  2 Se 2.35
2 Se 0.0000 0.0000 0.0000  2 Cl 2.35, 4 S 2.44
3 S 0.0000 0.5000 0.0000  2 Se 2.44
4 S 0.5000 0.0000 0.0000  2 Se 2.44
5 Os 0.5000 0.5000 0.5000  8 S 3.39, 4 Cl 3.44

Values from the calculation:
- raw formation energy (kcal/mol of atoms) = 35.66
- space group = No. 123
- density (kg/m3) = 5483

The following is a PBE calculation of an optimized crystal structure of OsSeS2Cl, from Alexandria via LeMat-Bulk.

a = 4.5815 Å, b = 4.5815 Å, c = 4.7891 Å
α = 90.00°, β = 90.00°, γ = 90.00°
Closest atoms and distances in Å follow each position.
Positions (direct):
1 S 0.5000 0.0000 0.0000  2 Os 2.29
2 S 0.0000 0.5000 0.0000  2 Os 2.29
3 Os 0.0000 0.0000 0.0000  4 S 2.29, 2 Cl 2.39
4 Se 0.5000 0.5000 0.5000  4 Cl 3.24, 8 S 3.31
5 Cl 0.0000 0.0000 0.5000  2 Os 2.39

Values from the calculation:
- raw formation energy (kcal/mol of atoms) = 12.69
- space group = No. 123
- density (kg/m3) = 6092

The following is a PBE calculation of an optimized crystal structure of OsSeSCl2, from Alexandria via LeMat-Bulk.

a = 4.8095 Å, b = 4.8095 Å, c = 4.5045 Å
α = 90.00°, β = 90.00°, γ = 90.00°
Closest atoms and distances in Å follow each position.
Positions (direct):
1 Se 0.5000 0.5000 0.5000  8 Cl 3.29, 4 S 3.40
2 Cl 0.5000 0.0000 0.0000  2 Os 2.40
3 Cl 0.0000 0.5000 0.0000  2 Os 2.40
4 S 0.0000 0.0000 0.5000  2 Os 2.25
5 Os 0.0000 0.0000 0.0000  2 S 2.25, 4 Cl 2.40

Values from the calculation:
- raw formation energy (kcal/mol of atoms) = 12.19
- space group = No. 123
- density (kg/m3) = 5931